No. 1
# Li8TiS6 (GGA-PBEsol, relaxed)
# Total moment in μB per formula unit: 0.0
# ΔE_f (raw) in meV per atom: -1294
# Crystal system: orthorhombic
data_Li8TiS6
_chemical_formula_sum 'Li32 Ti4 S24'
_cell_length_a 14.880
_cell_length_b 6.597
_cell_length_c 10.098
_cell_angle_alpha 90.00
_cell_angle_beta 90.00
_cell_angle_gamma 90.00
_symmetry_space_group_name_H-M 'P n a 21'
_symmetry_Int_Tables_number 33
loop_
_symmetry_equiv_pos_as_xyz
'x,y,z'
'-x,-y,z+1/2'
'-x+1/2,y+1/2,z+1/2'
'x+1/2,-y+1/2,z'
loop_
_atom_site_label
_atom_site_fract_x
_atom_site_fract_y
_atom_site_fract_z
_atom_site_occupancy
Li1 0.022 0.054 0.000 1
Li2 0.034 0.709 0.787 1
Li3 0.039 0.490 0.045 1
Li4 0.111 0.877 0.209 1
Li5 0.129 0.467 0.381 1
Li6 0.209 0.080 0.015 1
Li7 0.222 0.528 0.104 1
Li8 0.246 0.637 0.820 1
Ti1 0.128 0.305 0.693 1
S1 0.004 0.313 0.825 1
S2 0.117 0.247 0.178 1
S3 0.124 0.113 0.513 1
S4 0.129 0.771 0.976 1
S5 0.138 0.620 0.613 1
S6 0.245 0.741 0.310 1



No. 2
# Li3TlS (GGA-PBEsol, relaxed)
# Total moment in μB per formula unit: 0.0
# ΔE_f (raw) in meV per atom: -631
# Crystal system: cubic
data_Li3TlS
_chemical_formula_sum 'Li3 Tl1 S1'
_cell_length_a 4.626
_cell_length_b 4.626
_cell_length_c 4.626
_cell_angle_alpha 90.00
_cell_angle_beta 90.00
_cell_angle_gamma 90.00
_symmetry_space_group_name_H-M 'P m -3 m'
_symmetry_Int_Tables_number 221
_symmetry_space_group_name_Hall '-P 4 2 3'
loop_
_atom_site_label
_atom_site_fract_x
_atom_site_fract_y
_atom_site_fract_z
_atom_site_occupancy
Li1 0.000 0.000 0.500 1
Tl1 0.500 0.500 0.500 1
S1 0.000 0.000 0.000 1



No. 3
# Li3VS3 (GGA-PBEsol, relaxed)
# Total moment in μB per formula unit: 1.7
# ΔE_f (raw) in meV per atom: -1164
# Crystal system: trigonal
data_Li3VS3
_chemical_formula_sum 'Li18 V6 S18'
_cell_length_a 10.9006
_cell_length_b 10.9006
_cell_length_c 5.9755
_cell_angle_alpha 90.00
_cell_angle_beta 90.00
_cell_angle_gamma 120.00
_symmetry_space_group_name_H-M 'R 3 c'
_symmetry_Int_Tables_number 161
_symmetry_space_group_name_Hall 'R 3 -2"c'
loop_
_atom_site_label
_atom_site_fract_x
_atom_site_fract_y
_atom_site_fract_z
_atom_site_occupancy
Li1 0.1124 0.3379 0.0000 1
V1 0.0000 0.0000 0.4189 1
S1 0.0034 0.1770 0.6688 1



No. 4
# Li2V3S6 (GGA-PBEsol, relaxed)
# Total moment in μB per formula unit: 0.0
# ΔE_f (raw) in meV per atom: -1052
# Crystal system: hexagonal
data_Li2V3S6
_chemical_formula_sum 'Li4 V6 S12'
_cell_length_a 5.4925
_cell_length_b 5.4925
_cell_length_c 14.8285
_cell_angle_alpha 90.00
_cell_angle_beta 90.00
_cell_angle_gamma 120.00
_symmetry_space_group_name_H-M 'P 63/m c m'
_symmetry_Int_Tables_number 193
_symmetry_space_group_name_Hall '-P 6c 2'
loop_
_atom_site_label
_atom_site_fract_x
_atom_site_fract_y
_atom_site_fract_z
_atom_site_occupancy
Li1 0.3333 0.6667 0.0000 1
V1 0.0000 0.3262 0.2500 1
S1 0.0000 0.0000 0.1497 1
S2 0.3333 0.6667 0.1537 1



No. 5
# LiVS2 (GGA-PBEsol, relaxed)
# Total moment in μB per formula unit: 0.0
# ΔE_f (raw) in meV per atom: -1153
# Crystal system: trigonal
data_LiVS2
_chemical_formula_sum 'Li1 V1 S2'
_cell_length_a 3.2640
_cell_length_b 3.2640
_cell_length_c 6.1540
_cell_angle_alpha 90.00
_cell_angle_beta 90.00
_cell_angle_gamma 120.00
_symmetry_space_group_name_H-M 'P -3 m 1'
_symmetry_Int_Tables_number 164
_symmetry_space_group_name_Hall '-P 3 2"'
loop_
_atom_site_label
_atom_site_fract_x
_atom_site_fract_y
_atom_site_fract_z
_atom_site_occupancy
Li1 0.0000 0.0000 0.0000 1
V1 0.0000 0.0000 0.5000 1
S1 0.3333 0.6667 0.7321 1



No. 6
# Li3V4S8 (GGA-PBEsol, relaxed)
# Total moment in μB per formula unit: 0.0
# ΔE_f (raw) in meV per atom: -1097
# Crystal system: trigonal
data_Li3V4S8
_chemical_formula_sum 'Li9 V12 S24'
_cell_length_a 6.4860
_cell_length_b 6.4860
_cell_length_c 19.7305
_cell_angle_alpha 90.00
_cell_angle_beta 90.00
_cell_angle_gamma 120.00
_symmetry_space_group_name_H-M 'R 3 m'
_symmetry_Int_Tables_number 160
_symmetry_space_group_name_Hall 'R 3 -2"'
loop_
_atom_site_label
_atom_site_fract_x
_atom_site_fract_y
_atom_site_fract_z
_atom_site_occupancy
Li1 0.1768 0.3537 0.0000 1
V1 0.0000 0.0000 0.5179 1
V2 0.0522 0.5261 0.5198 1
S1 0.0000 0.0000 0.2494 1
S2 0.0000 0.0000 0.7696 1
S3 0.0054 0.5027 0.2627 1
S4 0.0065 0.5033 0.7864 1



No. 7
# LiW3S (GGA-PBEsol, relaxed)
# Total moment in μB per formula unit: 0.0
# ΔE_f (raw) in meV per atom: 1001
# Crystal system: cubic
data_LiW3S
_chemical_formula_sum 'Li1 W3 S1'
_cell_length_a 4.396
_cell_length_b 4.396
_cell_length_c 4.396
_cell_angle_alpha 90.00
_cell_angle_beta 90.00
_cell_angle_gamma 90.00
_symmetry_space_group_name_H-M 'P m -3 m'
_symmetry_Int_Tables_number 221
_symmetry_space_group_name_Hall '-P 4 2 3'
loop_
_atom_site_label
_atom_site_fract_x
_atom_site_fract_y
_atom_site_fract_z
_atom_site_occupancy
Li1 0.000 0.000 0.000 1
W1 0.000 0.500 0.500 1
S1 0.500 0.500 0.500 1



No. 8
# LiYS2 (GGA-PBEsol, relaxed)
# Total moment in μB per formula unit: 0.0
# ΔE_f (raw) in meV per atom: -1826
# Crystal system: tetragonal
data_LiYS2
_chemical_formula_sum 'Li1 Y1 S2'
_cell_length_a 3.864
_cell_length_b 3.864
_cell_length_c 5.263
_cell_angle_alpha 90.00
_cell_angle_beta 90.00
_cell_angle_gamma 90.00
_symmetry_space_group_name_H-M 'P 4/m m m'
_symmetry_Int_Tables_number 123
_symmetry_space_group_name_Hall '-P 4 2'
loop_
_atom_site_label
_atom_site_fract_x
_atom_site_fract_y
_atom_site_fract_z
_atom_site_occupancy
Li1 0.000 0.000 0.000 1
Y1 0.500 0.500 0.500 1
S1 0.000 0.000 0.500 1
S2 0.500 0.500 0.000 1



No. 9
# Li2YS (GGA-PBEsol, relaxed)
# Total moment in μB per formula unit: 0.0
# ΔE_f (raw) in meV per atom: -158
# Crystal system: cubic
data_Li2YS
_chemical_formula_sum 'Li8 Y4 S4'
_cell_length_a 6.460
_cell_length_b 6.460
_cell_length_c 6.460
_cell_angle_alpha 90.00
_cell_angle_beta 90.00
_cell_angle_gamma 90.00
_symmetry_space_group_name_H-M 'F m -3 m'
_symmetry_Int_Tables_number 225
_symmetry_space_group_name_Hall '-F 4 2 3'
loop_
_atom_site_label
_atom_site_fract_x
_atom_site_fract_y
_atom_site_fract_z
_atom_site_occupancy
Li1 0.250 0.250 0.250 1
Y1 0.000 0.000 0.000 1
S1 0.000 0.000 0.500 1



No. 10
# Li3YS (GGA-PBEsol, relaxed)
# Total moment in μB per formula unit: 0.0
# ΔE_f (raw) in meV per atom: -308
# Crystal system: cubic
data_Li3YS
_chemical_formula_sum 'Li3 Y1 S1'
_cell_length_a 4.604
_cell_length_b 4.604
_cell_length_c 4.604
_cell_angle_alpha 90.00
_cell_angle_beta 90.00
_cell_angle_gamma 90.00
_symmetry_space_group_name_H-M 'P m -3 m'
_symmetry_Int_Tables_number 221
_symmetry_space_group_name_Hall '-P 4 2 3'
loop_
_atom_site_label
_atom_site_fract_x
_atom_site_fract_y
_atom_site_fract_z
_atom_site_occupancy
Li1 0.000 0.000 0.500 1
Y1 0.500 0.500 0.500 1
S1 0.000 0.000 0.000 1



No. 11
# LiYS2 (GGA-PBEsol, relaxed)
# Total moment in μB per formula unit: 0.0
# ΔE_f (raw) in meV per atom: -1893
# Crystal system: tetragonal
data_LiYS2
_chemical_formula_sum 'Li4 Y4 S8'
_cell_length_a 5.378
_cell_length_b 5.378
_cell_length_c 10.964
_cell_angle_alpha 90.00
_cell_angle_beta 90.00
_cell_angle_gamma 90.00
_symmetry_space_group_name_H-M 'I 41/a m d'
_symmetry_Int_Tables_number 141
loop_
_symmetry_equiv_pos_as_xyz
'x,y,z'
'-x,-y,-z'
'-y+1/4,x+3/4,z+1/4'
'y+1/4,-x+3/4,-z+1/4'
'-x+1/2,-y,z+1/2'
'x+1/2,y,-z+1/2'
'y+1/4,-x+1/4,z+3/4'
'-y+1/4,x+1/4,-z+3/4'
'x,-y,-z'
'-x,y,z'
'-y+1/4,-x+1/4,-z+3/4'
'y+1/4,x+1/4,z+3/4'
'-x+1/2,y,-z+1/2'
'x+1/2,-y,z+1/2'
'y+1/4,x+3/4,-z+1/4'
'-y+1/4,-x+3/4,z+1/4'
'x+1/2,y+1/2,z+1/2'
'-x+1/2,-y+1/2,-z+1/2'
'-y+3/4,x+1/4,z+3/4'
'y+3/4,-x+1/4,-z+3/4'
'-x,-y+1/2,z'
'x,y+1/2,-z'
'y+3/4,-x+3/4,z+1/4'
'-y+3/4,x+3/4,-z+1/4'
'x+1/2,-y+1/2,-z+1/2'
'-x+1/2,y+1/2,z+1/2'
'-y+3/4,-x+3/4,-z+1/4'
'y+3/4,x+3/4,z+1/4'
'-x,y+1/2,-z'
'x,-y+1/2,z'
'y+3/4,x+1/4,-z+3/4'
'-y+3/4,-x+1/4,z+3/4'
loop_
_atom_site_label
_atom_site_fract_x
_atom_site_fract_y
_atom_site_fract_z
_atom_site_occupancy
Li1 0.000 0.250 0.375 1
Y1 0.000 0.250 0.875 1
S1 0.000 0.250 0.121 1



No. 12
# LiYS2 (GGA-PBEsol, relaxed)
# Total moment in μB per formula unit: 0.0
# ΔE_f (raw) in meV per atom: -1901
# Crystal system: trigonal
data_LiYS2
_chemical_formula_sum 'Li3 Y3 S6'
_cell_length_a 3.8620
_cell_length_b 3.8620
_cell_length_c 18.2052
_cell_angle_alpha 90.00
_cell_angle_beta 90.00
_cell_angle_gamma 120.00
_symmetry_space_group_name_H-M 'R -3 m'
_symmetry_Int_Tables_number 166
_symmetry_space_group_name_Hall '-R 3 2"'
loop_
_atom_site_label
_atom_site_fract_x
_atom_site_fract_y
_atom_site_fract_z
_atom_site_occupancy
Li1 0.0000 0.0000 0.0000 1
Y1 0.0000 0.0000 0.5000 1
S1 0.0000 0.0000 0.2510 1